(1)
Computed, not measured: La2PrCd2Sn2 after structural relaxation at the PBE level of DFT.

Summary:
- Magnetization: 0.00 μB per atom
- Theoretical density: 7.18 g cm⁻³
- ΔH_f (0 K): -0.383 eV/atom

Structure (POSCAR):
```
La2PrCd2Sn2
1.0
4.984 0.000 0.000
2.492 4.316 0.000
2.492 1.439 9.473
La Pr Cd Sn
2 1 2 2
direct
0.134 0.134 0.599 La
0.866 0.866 0.401 La
0.000 0.000 0.000 Pr
0.586 0.586 0.243 Cd
0.414 0.414 0.757 Cd
0.732 0.732 0.804 Sn
0.268 0.268 0.196 Sn
```

***

(2)
Computed, not measured: Sm5Y4Tl4 after structural relaxation at the PBE level of DFT.

Summary:
- Magnetization: 0.00 μB per atom
- Theoretical density: 8.03 g cm⁻³
- ΔH_f (0 K): -0.263 eV/atom

Structure (POSCAR):
```
Sm5Y4Tl4
1.0
0.346 4.002 3.189
-6.520 -1.204 6.343
5.871 -2.481 6.601
Sm Y Tl
5 4 4
direct
0.688 0.914 0.709 Sm
0.312 0.086 0.291 Sm
0.000 0.000 0.000 Sm
0.602 0.709 0.086 Sm
0.398 0.291 0.914 Sm
0.905 0.488 0.701 Y
0.606 0.299 0.488 Y
0.095 0.512 0.299 Y
0.394 0.701 0.512 Y
0.764 0.339 0.134 Tl
0.236 0.661 0.866 Tl
0.897 0.866 0.339 Tl
0.103 0.134 0.661 Tl
```

***

(3)
Computed, not measured: Y2HgPt after structural relaxation at the PBE level of DFT.

Summary:
- Magnetization: 0.00 μB per atom
- Theoretical density: 10.16 g cm⁻³
- ΔH_f (0 K): -0.819 eV/atom

Structure (POSCAR):
```
Y2HgPt
1.0
5.076 0.000 0.000
0.000 3.636 -0.147
0.000 0.205 5.072
Y Hg Pt
2 1 1
direct
0.000 0.125 0.876 Y
0.500 0.125 0.375 Y
0.000 0.624 0.377 Hg
0.500 0.626 0.873 Pt
```

***

(4)
Computed, not measured: Nb2ZnSi2 after structural relaxation at the PBE level of DFT.

Summary:
- VASP energy: -6.66 eV per atom
- Magnetization: 0.00 μB per atom
- Theoretical density: 6.13 g cm⁻³

Structure (POSCAR):
```
Nb2ZnSi2
1.0
6.946 0.000 0.000
0.000 6.946 0.000
0.000 0.000 3.450
Nb Si Zn
4 4 2
direct
0.339 0.839 0.000 Nb
0.839 0.661 0.000 Nb
0.661 0.161 0.000 Nb
0.161 0.339 0.000 Nb
0.134 0.634 0.500 Si
0.634 0.866 0.500 Si
0.866 0.366 0.500 Si
0.366 0.134 0.500 Si
0.000 0.000 0.000 Zn
0.500 0.500 0.000 Zn
```

***

(5)
Computed, not measured: PmPaS4 after structural relaxation at the PBE level of DFT.

Summary:
- Offset from the most stable computed form: 0.0073 eV/atom
- Magnetization: 0.00 μB per atom
- Theoretical density: 5.77 g cm⁻³

Structure (POSCAR):
```
PmPaS4
1.0
-2.687 -1.373 -3.257
1.346 -3.173 -2.798
-3.680 -7.439 3.148
Pm Pa S
1 1 4
direct
0.500 0.500 0.500 Pm
0.000 0.000 0.000 Pa
0.701 0.701 0.898 S
0.299 0.299 0.102 S
0.114 0.114 0.657 S
0.886 0.886 0.343 S
```

***

(6)
Computed, not measured: Ho3Th4 after structural relaxation at the PBE level of DFT.

Summary:
- Magnetization: 0.00 μB per atom
- Theoretical density: 10.57 g cm⁻³
- ΔH_f (0 K): 0.034 eV/atom

Structure (POSCAR):
```
Ho3Th4
1.0
-1.732 -0.471 3.084
1.386 -3.277 0.278
13.569 4.680 10.399
Ho Th
3 4
direct
0.000 0.000 0.000 Ho
0.287 0.287 0.427 Ho
0.713 0.713 0.573 Ho
0.143 0.143 0.715 Th
0.857 0.857 0.285 Th
0.428 0.428 0.145 Th
0.572 0.572 0.855 Th
```

***

magnetization of number 5 (PmPaS4)?
0.00 μB per atom